VASP calculation (PBE) on a relaxed HoEr2Ir crystal.

Geometry as POSCAR:
```
HoEr2Ir
1.0
0.034 2.602 2.876
-4.085 -4.530 1.532
6.603 -4.580 4.065
Ho Er Ir
2 4 2
Cartesian
-1.822 -3.902 3.551
4.375 -2.606 4.921
1.710 -2.906 2.608
0.842 -3.603 5.864
3.273 -5.289 7.361
-0.721 -1.220 1.112
-0.394 -1.481 3.959
2.947 -5.027 4.513
```

As for the mass density: 10.99 Mg/m³. The energy above the most stable polymorph in this dataset comes out at 36.8 meV per atom. As for the formation energy: -0.5732 eV per atom. The total energy is -6.21 eV per atom. Its space-group type is Cmcm (63).